# 1
# MoBrCl3 (PBE, optimized geometry)
data_MoBrCl3
_chemical_formula_sum 'Mo2 Br2 Cl6'
_space_group_name_H-M_alt 'P 1'
_space_group_IT_number 1
_cell_length_a 7.075
_cell_length_b 7.075
_cell_length_c 8.368
_cell_angle_alpha 124.48
_cell_angle_beta 124.48
_cell_angle_gamma 57.39
loop_
_space_group_symop_operation_xyz
'x,y,z'
loop_
_atom_site_label
_atom_site_fract_x
_atom_site_fract_y
_atom_site_fract_z
Br1 0.685 0.685 0.158
Br2 0.315 0.315 0.842
Cl1 0.201 0.201 0.172
Cl2 0.785 0.258 0.294
Cl3 0.258 0.785 0.294
Cl4 0.742 0.215 0.706
Cl5 0.215 0.742 0.706
Cl6 0.799 0.799 0.828
Mo1 0.792 0.208 0.000
Mo2 0.208 0.792 0.000
# * total energy: -4.37 eV/atom
# * density: 3.5 g cm⁻³
# * SG: C2/m, No. 12


# 2
# MoBr3Cl2 (PBE, optimized geometry)
data_MoBr3Cl2
_chemical_formula_sum 'Mo2 Br6 Cl4'
_space_group_name_H-M_alt 'P 1'
_space_group_IT_number 1
_cell_length_a 6.523
_cell_length_b 7.086
_cell_length_c 9.588
_cell_angle_alpha 109.09
_cell_angle_beta 90.84
_cell_angle_gamma 116.07
loop_
_space_group_symop_operation_xyz
'x,y,z'
loop_
_atom_site_label
_atom_site_fract_x
_atom_site_fract_y
_atom_site_fract_z
Br1 0.304 0.999 0.240
Br2 0.443 0.574 0.331
Br3 0.927 0.189 0.429
Br4 0.073 0.811 0.571
Br5 0.557 0.426 0.669
Br6 0.696 0.001 0.760
Cl1 0.773 0.829 0.042
Cl2 0.891 0.363 0.142
Cl3 0.109 0.637 0.858
Cl4 0.227 0.171 0.958
Mo1 0.104 0.210 0.210
Mo2 0.896 0.790 0.790
# * energy relative to the lowest polymorph listed for this composition: 0.003 eV/atom
# * density: 3.7 g cm⁻³
# * SG: P-1, No. 2


# 3
# NbMoBr6Cl4 (PBE, optimized geometry)
data_NbMoBr6Cl4
_chemical_formula_sum 'Nb1 Mo1 Br6 Cl4'
_space_group_name_H-M_alt 'P 1'
_space_group_IT_number 1
_cell_length_a 6.505
_cell_length_b 7.045
_cell_length_c 9.774
_cell_angle_alpha 108.34
_cell_angle_beta 91.83
_cell_angle_gamma 114.19
loop_
_space_group_symop_operation_xyz
'x,y,z'
loop_
_atom_site_label
_atom_site_fract_x
_atom_site_fract_y
_atom_site_fract_z
Br1 0.757 0.818 0.046
Br2 0.435 0.568 0.335
Br3 0.929 0.187 0.429
Br4 0.080 0.821 0.571
Br5 0.556 0.427 0.669
Br6 0.245 0.186 0.958
Cl1 0.889 0.366 0.144
Cl2 0.290 0.007 0.236
Cl3 0.706 0.996 0.761
Cl4 0.114 0.629 0.855
Mo1 0.102 0.212 0.214
Nb1 0.896 0.783 0.781
# * total energy: -3.98 eV/atom
# * density: 3.5 g cm⁻³
# * SG: P1, No. 1


# 4
# PuMoBr6Cl4 (PBE, optimized geometry)
data_PuMoBr6Cl4
_chemical_formula_sum 'Pu1 Mo1 Br6 Cl4'
_space_group_name_H-M_alt 'P 1'
_space_group_IT_number 1
_cell_length_a 6.697
_cell_length_b 7.257
_cell_length_c 10.042
_cell_angle_alpha 108.03
_cell_angle_beta 91.61
_cell_angle_gamma 114.47
loop_
_space_group_symop_operation_xyz
'x,y,z'
loop_
_atom_site_label
_atom_site_fract_x
_atom_site_fract_y
_atom_site_fract_z
Br1 0.744 0.798 0.030
Br2 0.448 0.582 0.342
Br3 0.922 0.185 0.441
Br4 0.061 0.810 0.576
Br5 0.578 0.446 0.666
Br6 0.242 0.173 0.939
Cl1 0.881 0.384 0.148
Cl2 0.305 0.002 0.246
Cl3 0.718 0.990 0.767
Cl4 0.105 0.642 0.856
Mo1 0.897 0.786 0.783
Pu1 0.098 0.202 0.206
# * total energy: -4.43 eV/atom
# * density: 3.8 g cm⁻³
# * SG: P1, No. 1


# 5
# ReMoBr6Cl4 (PBE, optimized geometry)
data_ReMoBr6Cl4
_chemical_formula_sum 'Re1 Mo1 Br6 Cl4'
_space_group_name_H-M_alt 'P 1'
_space_group_IT_number 1
_cell_length_a 6.438
_cell_length_b 6.954
_cell_length_c 9.624
_cell_angle_alpha 108.20
_cell_angle_beta 91.72
_cell_angle_gamma 114.40
loop_
_space_group_symop_operation_xyz
'x,y,z'
loop_
_atom_site_label
_atom_site_fract_x
_atom_site_fract_y
_atom_site_fract_z
Br1 0.757 0.819 0.048
Br2 0.434 0.566 0.336
Br3 0.929 0.186 0.429
Br4 0.073 0.815 0.568
Br5 0.560 0.427 0.662
Br6 0.246 0.188 0.959
Cl1 0.888 0.374 0.148
Cl2 0.296 0.008 0.242
Cl3 0.707 0.994 0.761
Cl4 0.113 0.631 0.855
Mo1 0.896 0.785 0.782
Re1 0.100 0.207 0.210
# * total energy: -3.86 eV/atom
# * density: 4.1 g cm⁻³
# * SG: P1, No. 1


# 6
# Pr2Nd2BrNCl4 (PBE, optimized geometry)
data_Pr2Nd2BrNCl4
_chemical_formula_sum 'Pr2 Nd2 Br1 N1 Cl4'
_space_group_name_H-M_alt 'P 1'
_space_group_IT_number 1
_cell_length_a 9.015
_cell_length_b 9.015
_cell_length_c 8.328
_cell_angle_alpha 105.17
_cell_angle_beta 105.17
_cell_angle_gamma 24.57
loop_
_space_group_symop_operation_xyz
'x,y,z'
loop_
_atom_site_label
_atom_site_fract_x
_atom_site_fract_y
_atom_site_fract_z
Br1 0.500 0.500 0.000
Cl1 0.836 0.836 0.155
Cl2 0.170 0.170 0.343
Cl3 0.830 0.830 0.657
Cl4 0.164 0.164 0.845
N1 0.500 0.500 0.500
Nd1 0.001 0.001 0.297
Nd2 0.999 0.999 0.703
Pr1 0.354 0.354 0.414
Pr2 0.646 0.646 0.586
# * total energy: -5.47 eV/atom
# * density: 4.9 g cm⁻³
# * SG: C2/m, No. 12


# 7
# Pr2Nd2Br2NCl3 (PBE, optimized geometry)
data_Pr2Nd2Br2NCl3
_chemical_formula_sum 'Pr2 Nd2 Br2 N1 Cl3'
_space_group_name_H-M_alt 'P 1'
_space_group_IT_number 1
_cell_length_a 9.246
_cell_length_b 9.246
_cell_length_c 8.072
_cell_angle_alpha 104.09
_cell_angle_beta 104.09
_cell_angle_gamma 23.90
loop_
_space_group_symop_operation_xyz
'x,y,z'
loop_
_atom_site_label
_atom_site_fract_x
_atom_site_fract_y
_atom_site_fract_z
Br1 0.830 0.830 0.183
Br2 0.170 0.170 0.817
Cl1 0.159 0.159 0.350
Cl2 0.500 0.500 0.500
Cl3 0.841 0.841 0.650
N1 0.500 0.500 0.000
Nd1 0.000 0.000 0.211
Nd2 0.000 0.000 0.789
Pr1 0.641 0.641 0.083
Pr2 0.359 0.359 0.917
# * total energy: -5.40 eV/atom
# * density: 5.2 g cm⁻³
# * SG: C2/m, No. 12


# 8
# Pr2Nd2Br4NCl (PBE, optimized geometry)
data_Pr2Nd2Br4NCl
_chemical_formula_sum 'Pr2 Nd2 Br4 N1 Cl1'
_space_group_name_H-M_alt 'P 1'
_space_group_IT_number 1
_cell_length_a 9.325
_cell_length_b 9.325
_cell_length_c 8.186
_cell_angle_alpha 103.42
_cell_angle_beta 103.42
_cell_angle_gamma 23.95
loop_
_space_group_symop_operation_xyz
'x,y,z'
loop_
_atom_site_label
_atom_site_fract_x
_atom_site_fract_y
_atom_site_fract_z
Br1 0.828 0.828 0.175
Br2 0.165 0.165 0.357
Br3 0.835 0.835 0.643
Br4 0.172 0.172 0.825
Cl1 0.500 0.500 0.500
N1 0.500 0.500 0.000
Nd1 0.638 0.638 0.077
Nd2 0.362 0.362 0.923
Pr1 0.999 0.999 0.211
Pr2 0.001 0.001 0.789
# * total energy: -5.27 eV/atom
# * density: 5.6 g cm⁻³
# * SG: C2/m, No. 12


# 9
# Pr2Nd2Br3NCl2 (PBE, optimized geometry)
data_Pr2Nd2Br3NCl2
_chemical_formula_sum 'Pr2 Nd2 Br3 N1 Cl2'
_space_group_name_H-M_alt 'P 1'
_space_group_IT_number 1
_cell_length_a 9.271
_cell_length_b 9.271
_cell_length_c 8.327
_cell_angle_alpha 104.45
_cell_angle_beta 104.45
_cell_angle_gamma 24.06
loop_
_space_group_symop_operation_xyz
'x,y,z'
loop_
_atom_site_label
_atom_site_fract_x
_atom_site_fract_y
_atom_site_fract_z
Br1 0.830 0.830 0.175
Br2 0.500 0.500 0.500
Br3 0.170 0.170 0.825
Cl1 0.160 0.160 0.341
Cl2 0.840 0.840 0.659
N1 0.500 0.500 0.000
Nd1 0.000 0.000 0.204
Nd2 0.000 0.000 0.796
Pr1 0.641 0.641 0.082
Pr2 0.359 0.359 0.918
# * total energy: -5.34 eV/atom
# * density: 5.3 g cm⁻³
# * SG: C2/m, No. 12


# 10
# NdSmBrNCl2 (PBE, optimized geometry)
data_NdSmBrNCl2
_chemical_formula_sum 'Nd2 Sm2 Br2 N2 Cl4'
_space_group_name_H-M_alt 'P 1'
_space_group_IT_number 1
_cell_length_a 8.870
_cell_length_b 8.870
_cell_length_c 11.296
_cell_angle_alpha 121.65
_cell_angle_beta 121.65
_cell_angle_gamma 26.06
loop_
_space_group_symop_operation_xyz
'x,y,z'
loop_
_atom_site_label
_atom_site_fract_x
_atom_site_fract_y
_atom_site_fract_z
Br1 0.228 0.228 0.121
Br2 0.772 0.772 0.879
Cl1 0.959 0.959 0.246
Cl2 0.334 0.334 0.494
Cl3 0.666 0.666 0.506
Cl4 0.041 0.041 0.754
N1 0.576 0.576 0.154
N2 0.424 0.424 0.846
Nd1 0.140 0.140 0.292
Nd2 0.860 0.860 0.708
Sm1 0.420 0.420 0.046
Sm2 0.580 0.580 0.954
# * total energy: -5.86 eV/atom
# * density: 4.6 g cm⁻³
# * SG: C2/m, No. 12